[1]
Entry from the Alexandria database: crystalline NbTl3Cl7 at its relaxed geometry (GGA-PBE).

a b c (Å): 9.0395 9.0395 9.6633
angles (deg): 90.00 90.00 110.63
Last column: nearest neighbours and their distance in Å.
Fractional positions:
Cl  0.2772  0.0554  0.0389  1 Nb 2.41
Cl  0.0563  0.2778  0.5385  1 Nb 2.41
Cl  0.3561  0.6439  0.7500  4 Tl 3.06-3.23
Cl  0.9437  0.7222  0.0385  1 Nb 2.41
Cl  0.6396  0.3604  0.7500  4 Tl 3.05-3.19
Cl  0.2778  0.0563  0.4615  1 Nb 2.41
Cl  0.3604  0.6396  0.2500  4 Tl 3.05-3.19
Cl  0.7222  0.9437  0.9615  1 Nb 2.41
Cl  0.7228  0.9446  0.5389  1 Nb 2.41
Cl  0.0453  0.9547  0.7500  2 Nb 2.51
Cl  0.9547  0.0453  0.2500  2 Nb 2.51
Cl  0.6439  0.3561  0.2500  4 Tl 3.06-3.23
Cl  0.9446  0.7228  0.4611  1 Nb 2.41
Cl  0.0554  0.2772  0.9611  1 Nb 2.41
Nb  0.0000  0.0000  0.0000  6 Cl 2.41-2.51
Nb  0.0000  0.0000  0.5000  6 Cl 2.41-2.51
Tl  0.5426  0.9951  0.2504  6 Cl 3.05-3.34
Tl  0.9951  0.5426  0.7496  6 Cl 3.05-3.34
Tl  0.5049  0.5049  0.0000  4 Cl 3.19-3.23
Tl  0.0049  0.4574  0.2496  6 Cl 3.05-3.34
Tl  0.4951  0.4951  0.5000  4 Cl 3.19-3.23
Tl  0.4574  0.0049  0.7504  6 Cl 3.05-3.34

Properties
The calculation puts the formation energy (no corrections) at -1.0839 eV per atom. The symmetry is C222_1 (20). As for the crystal system: orthorhombic.

***

[2]
Entry from the Alexandria database: crystalline Pm4AlIn3 at its relaxed geometry (GGA-PBE).

a b c (Å): 4.6476 4.3887 11.7044
angles (deg): 90.00 90.00 90.00
Last column: nearest neighbours and their distance in Å.
Fractional positions:
In  0.5000  0.0000  0.9246  2 Al 2.82
In  0.0000  0.5000  0.5837  2 In 2.94, 4 Pm 3.26
In  0.0000  0.0000  0.4171  2 In 2.94, 5 Pm 3.28
Pm  0.0000  0.0000  0.1371  4 Al 3.27, 3 In 3.28-3.40
Pm  0.5000  0.0000  0.6402  7 In 3.26-3.49
Pm  0.5000  0.5000  0.3548  1 Al 3.26, 6 In 3.28-3.55
Pm  0.0000  0.5000  0.8661  5 In 3.27-3.30, 2 Al 3.38
Al  0.5000  0.5000  0.0763  2 In 2.82

Properties
For the excess energy over the best structure of this formula in the dataset, the calculation gives 46 meV per atom. The symmetry is Pmm2 (25). The energy of formation comes out at -0.415 eV/atom. As for the crystal system: orthorhombic.

***

[3]
Entry from the Alexandria database: crystalline Ca3Tm2PaAs6 at its relaxed geometry (GGA-PBE).

a b c (Å): 7.1974 7.1974 7.2517
angles (deg): 99.52 99.52 120.04
Last column: nearest neighbours and their distance in Å.
Fractional positions:
As  0.9226  0.5933  0.7673  1 Pa 2.85, 2 Tm 2.89, 3 Ca 3.00-3.03
As  0.0774  0.4067  0.2327  1 Pa 2.85, 2 Tm 2.89, 3 Ca 3.00-3.03
As  0.5933  0.9226  0.7673  1 Pa 2.85, 2 Tm 2.89, 3 Ca 3.00-3.03
As  0.7483  0.7483  0.2325  1 Pa 2.85, 2 Tm 2.89, 3 Ca 3.02-3.04
As  0.2517  0.2517  0.7675  1 Pa 2.85, 2 Tm 2.89, 3 Ca 3.02-3.04
As  0.4067  0.0774  0.2327  1 Pa 2.85, 2 Tm 2.89, 3 Ca 3.00-3.03
Ca  0.8317  0.1683  0.5000  6 As 3.00-3.03
Ca  0.1683  0.8317  0.5000  6 As 3.00-3.03
Ca  0.5000  0.5000  0.5000  6 As 3.01-3.04
Tm  0.6666  0.3334  0.0000  6 As 2.89
Tm  0.3334  0.6666  0.0000  6 As 2.89
Pa  0.0000  0.0000  0.0000  6 As 2.85

Properties
The symmetry is C2/m (12). The energy of formation comes out at -1.252 eV/atom. As for the crystal system: monoclinic.

***

[4]
Entry from the Alexandria database: crystalline ZnCdSiIr at its relaxed geometry (GGA-PBE).

a b c (Å): 4.1205 4.1205 14.1736
angles (deg): 90.00 90.00 120.00
Last column: nearest neighbours and their distance in Å.
Fractional positions:
Cd  0.3333  0.6667  0.7203  4 Ir 2.84-3.04, 4 Zn 2.90-3.06, 3 Si 2.92
Cd  0.0000  0.0000  0.0537  4 Ir 2.84-3.04, 4 Zn 2.90-3.06, 3 Si 2.92
Cd  0.6667  0.3333  0.3870  4 Ir 2.84-3.04, 4 Zn 2.90-3.06, 3 Si 2.92
Ir  0.0000  0.0000  0.8535  3 Si 2.39, 3 Zn 2.65
Ir  0.6667  0.3333  0.1869  3 Si 2.39, 3 Zn 2.65
Ir  0.3333  0.6667  0.5202  3 Si 2.39, 3 Zn 2.65
Zn  0.3333  0.6667  0.9363  3 Ir 2.65, 3 Si 2.75, 3 Cd 2.90
Zn  0.0000  0.0000  0.2697  3 Ir 2.65, 3 Si 2.75, 3 Cd 2.90
Zn  0.6667  0.3333  0.6030  3 Ir 2.65, 3 Si 2.75, 3 Cd 2.90
Si  0.3333  0.6667  0.1730  3 Ir 2.39
Si  0.0000  0.0000  0.5063  3 Ir 2.39
Si  0.6667  0.3333  0.8396  3 Ir 2.39

Properties
For the excess energy over the best structure of this formula in the dataset, the calculation gives 0 meV per atom. The calculation puts the formation energy (no corrections) at -0.2187 eV per atom. The symmetry is R3m (160). As for the crystal system: trigonal.